The following is a GGA-PBEsol calculation of an optimized crystal structure of TcOsPb2, from Alexandria.

total DFT energy (no corrections): -27.14 eV/cell
formation energy from the elements: 1086 meV/atom
energy above the lowest structure with this stoichiometry: 0.2507 eV per atom

Unit cell a=3.233 b=5.358 c=5.403 alpha=119.72 beta=107.41 gamma=90.00
Fractional positions:
Pb 0.250 0.250 0.501
Pb 0.750 0.750 0.499
Os 0.000 0.500 0.000
Tc 0.500 0.000 0.000